Compound: Dy4OsRu
Source: Alexandria
Functional: PBE-GGA
Structure: optimized geometry

Lattice parameters (Å, degrees): 7.8304 7.8304 6.2783 108.65 108.65 110.46
Fractional coordinates of all 12 atoms:
Dy 0.0481 0.6929 0.9057
Dy 0.2459 0.3679 0.7369
Dy 0.3071 0.9519 0.5943
Dy 0.3679 0.2459 0.2369
Dy 0.6321 0.7541 0.7631
Dy 0.6929 0.0481 0.4057
Dy 0.7541 0.6321 0.2631
Dy 0.9519 0.3071 0.0943
Os 0.3658 0.6342 0.2500
Os 0.6342 0.3658 0.7500
Ru 0.0013 0.9987 0.7500
Ru 0.9987 0.0013 0.2500

Calculated values
**Density**: 10.47 g/cm3
**Space group**: C2/c, No. 15
**E above lowest polymorph**: 0 meV per atom